Entry 1:
# PBE-GGA CdRh3S, relaxed
# VASP energy ... -5.47 eV/atom
data_CdRh3S
_space_group_name_H-M_alt 'P m -3 m'
_space_group_IT_number 221
_space_group_name_Hall '-P 4 2 3'
_cell_length_a 4.3954
_cell_length_b 4.3954
_cell_length_c 4.3954
_cell_angle_alpha 90.00
_cell_angle_beta 90.00
_cell_angle_gamma 90.00
loop_
_atom_site_label
_atom_site_fract_x
_atom_site_fract_y
_atom_site_fract_z
Cd1 0.0000 0.0000 0.0000
Rh1 0.0000 0.5000 0.5000
S1 0.5000 0.5000 0.5000

Entry 2:
# PBE-GGA CdRh2S, relaxed
# VASP energy ... -5.17 eV/atom
data_CdRh2S
_space_group_name_H-M_alt 'P 4 m m'
_space_group_IT_number 99
_cell_length_a 4.1652
_cell_length_b 4.1652
_cell_length_c 4.0912
_cell_angle_alpha 90.00
_cell_angle_beta 90.00
_cell_angle_gamma 90.00
loop_
_space_group_symop_operation_xyz
'x,y,z'
'-y,x,z'
'-x,-y,z'
'y,-x,z'
'-x,y,z'
'y,x,z'
'x,-y,z'
'-y,-x,z'
loop_
_atom_site_label
_atom_site_fract_x
_atom_site_fract_y
_atom_site_fract_z
Cd1 0.0000 0.0000 0.0000
Rh1 0.0000 0.5000 0.4781
S1 0.5000 0.5000 0.6798

Entry 3:
# PBE-GGA CdRh2S, relaxed
# VASP energy ... -5.04 eV/atom
data_CdRh2S
_space_group_name_H-M_alt 'R -3 m'
_space_group_IT_number 166
_space_group_name_Hall '-R 3 2"'
_cell_length_a 3.0803
_cell_length_b 3.0803
_cell_length_c 23.2011
_cell_angle_alpha 90.00
_cell_angle_beta 90.00
_cell_angle_gamma 120.00
loop_
_atom_site_label
_atom_site_fract_x
_atom_site_fract_y
_atom_site_fract_z
Cd1 0.0000 0.0000 0.0000
Rh1 0.0000 0.0000 0.2349
S1 0.0000 0.0000 0.5000

Entry 4:
# PBE-GGA CdRh2S, relaxed
# VASP energy ... -5.18 eV/atom
data_CdRh2S
_space_group_name_H-M_alt 'I m m 2'
_space_group_IT_number 44
_cell_length_a 3.2794
_cell_length_b 7.4992
_cell_length_c 11.0403
_cell_angle_alpha 90.00
_cell_angle_beta 90.00
_cell_angle_gamma 90.00
loop_
_space_group_symop_operation_xyz
'x,y,z'
'-x,-y,z'
'-x,y,z'
'x,-y,z'
'x+1/2,y+1/2,z+1/2'
'-x+1/2,-y+1/2,z+1/2'
'-x+1/2,y+1/2,z+1/2'
'x+1/2,-y+1/2,z+1/2'
loop_
_atom_site_label
_atom_site_fract_x
_atom_site_fract_y
_atom_site_fract_z
Cd1 0.0000 0.1956 0.0000
Rh1 0.0000 0.0000 0.4898
Rh2 0.0000 0.3078 0.7320
Rh3 0.0000 0.5000 0.3293
S1 0.0000 0.0000 0.2867
S2 0.0000 0.0000 0.6920

Entry 5:
# PBE-GGA CdRh2S, relaxed
# VASP energy ... -5.19 eV/atom
data_CdRh2S
_space_group_name_H-M_alt 'P -6 m 2'
_space_group_IT_number 187
_space_group_name_Hall 'P -6 2'
_cell_length_a 3.2321
_cell_length_b 3.2321
_cell_length_c 7.2485
_cell_angle_alpha 90.00
_cell_angle_beta 90.00
_cell_angle_gamma 120.00
loop_
_atom_site_label
_atom_site_fract_x
_atom_site_fract_y
_atom_site_fract_z
Cd1 0.0000 0.0000 0.0000
Rh1 0.3333 0.6667 0.3086
S1 0.6667 0.3333 0.5000

Entry 6:
# PBE-GGA CdRh2S, relaxed
# VASP energy ... -5.10 eV/atom
data_CdRh2S
_space_group_name_H-M_alt 'P 1 m 1'
_space_group_IT_number 6
_cell_length_a 6.1043
_cell_length_b 3.1556
_cell_length_c 7.2624
_cell_angle_alpha 90.00
_cell_angle_beta 110.90
_cell_angle_gamma 90.00
loop_
_space_group_symop_operation_xyz
'x,y,z'
'x,-y,z'
loop_
_atom_site_label
_atom_site_fract_x
_atom_site_fract_y
_atom_site_fract_z
Cd1 0.0000 0.0000 0.0000
Cd2 0.4949 0.0000 0.9631
Rh1 0.1153 0.5000 0.6946
Rh2 0.4427 0.0000 0.3282
Rh3 0.6396 0.5000 0.6910
Rh4 0.8387 0.5000 0.2805
S1 0.2517 0.5000 0.4263
S2 0.8288 0.0000 0.5324

Entry 7:
# PBE-GGA Cd3RhS, relaxed
# VASP energy ... -2.12 eV/atom
data_Cd3RhS
_space_group_name_H-M_alt 'P m -3 m'
_space_group_IT_number 221
_space_group_name_Hall '-P 4 2 3'
_cell_length_a 4.9517
_cell_length_b 4.9517
_cell_length_c 4.9517
_cell_angle_alpha 90.00
_cell_angle_beta 90.00
_cell_angle_gamma 90.00
loop_
_atom_site_label
_atom_site_fract_x
_atom_site_fract_y
_atom_site_fract_z
Cd1 0.0000 0.0000 0.5000
Rh1 0.5000 0.5000 0.5000
S1 0.0000 0.0000 0.0000

Entry 8:
# PBE-GGA Cd3RhS, relaxed
# VASP energy ... -2.40 eV/atom
data_Cd3RhS
_space_group_name_H-M_alt 'P m -3 m'
_space_group_IT_number 221
_space_group_name_Hall '-P 4 2 3'
_cell_length_a 5.1089
_cell_length_b 5.1089
_cell_length_c 5.1089
_cell_angle_alpha 90.00
_cell_angle_beta 90.00
_cell_angle_gamma 90.00
loop_
_atom_site_label
_atom_site_fract_x
_atom_site_fract_y
_atom_site_fract_z
Cd1 0.0000 0.0000 0.5000
Rh1 0.0000 0.0000 0.0000
S1 0.5000 0.5000 0.5000

Entry 9:
# PBE-GGA CdRhS2, relaxed
# VASP energy ... -4.39 eV/atom
data_CdRhS2
_space_group_name_H-M_alt 'I -4 2 d'
_space_group_IT_number 122
_space_group_name_Hall 'I -4 2bw'
_cell_length_a 5.5586
_cell_length_b 5.5586
_cell_length_c 11.4820
_cell_angle_alpha 90.00
_cell_angle_beta 90.00
_cell_angle_gamma 90.00
loop_
_atom_site_label
_atom_site_fract_x
_atom_site_fract_y
_atom_site_fract_z
Cd1 0.0000 0.0000 0.0000
Rh1 0.0000 0.0000 0.5000
S1 0.2034 0.2500 0.6250

Entry 10:
# PBE-GGA CdRh2S, relaxed
# VASP energy ... -5.11 eV/atom
data_CdRh2S
_space_group_name_H-M_alt 'C 1 m 1'
_space_group_IT_number 8
_cell_length_a 11.6720
_cell_length_b 3.2573
_cell_length_c 7.5856
_cell_angle_alpha 90.00
_cell_angle_beta 116.49
_cell_angle_gamma 90.00
loop_
_space_group_symop_operation_xyz
'x,y,z'
'x,-y,z'
'x+1/2,y+1/2,z'
'x+1/2,-y+1/2,z'
loop_
_atom_site_label
_atom_site_fract_x
_atom_site_fract_y
_atom_site_fract_z
Cd1 0.0000 0.0000 0.0000
Cd2 0.2339 0.5000 0.0750
Rh1 0.0041 0.5000 0.6655
Rh2 0.2161 0.0000 0.3852
Rh3 0.2473 0.0000 0.7742
Rh4 0.4569 0.0000 0.2636
S1 0.0542 0.0000 0.4928
S2 0.3266 0.5000 0.6194

Entry 11:
# PBE-GGA CdRh2S, relaxed
# VASP energy ... -5.12 eV/atom
data_CdRh2S
_space_group_name_H-M_alt 'I m m m'
_space_group_IT_number 71
_space_group_name_Hall '-I 2 2'
_cell_length_a 3.1328
_cell_length_b 5.6972
_cell_length_c 14.3285
_cell_angle_alpha 90.00
_cell_angle_beta 90.00
_cell_angle_gamma 90.00
loop_
_atom_site_label
_atom_site_fract_x
_atom_site_fract_y
_atom_site_fract_z
Cd1 0.0000 0.0000 0.0000
Cd2 0.0000 0.5000 0.0000
Rh1 0.0000 0.2479 0.3545
S1 0.0000 0.5000 0.2176

Entry 12:
# PBE-GGA CdRh3S, relaxed
# VASP energy ... -3.59 eV/atom
data_CdRh3S
_space_group_name_H-M_alt 'P m -3 m'
_space_group_IT_number 221
_space_group_name_Hall '-P 4 2 3'
_cell_length_a 4.9054
_cell_length_b 4.9054
_cell_length_c 4.9054
_cell_angle_alpha 90.00
_cell_angle_beta 90.00
_cell_angle_gamma 90.00
loop_
_atom_site_label
_atom_site_fract_x
_atom_site_fract_y
_atom_site_fract_z
Cd1 0.0000 0.0000 0.0000
Rh1 0.0000 0.0000 0.5000
S1 0.5000 0.5000 0.5000

Entry 13:
# PBE-GGA CdRh2S, relaxed
# VASP energy ... -5.14 eV/atom
data_CdRh2S
_space_group_name_H-M_alt 'C m c m'
_space_group_IT_number 63
_space_group_name_Hall '-C 2c 2'
_cell_length_a 3.1843
_cell_length_b 14.1162
_cell_length_c 5.7218
_cell_angle_alpha 90.00
_cell_angle_beta 90.00
_cell_angle_gamma 90.00
loop_
_atom_site_label
_atom_site_fract_x
_atom_site_fract_y
_atom_site_fract_z
Cd1 0.0000 0.0086 0.2500
Rh1 0.0000 0.3538 0.0047
S1 0.0000 0.2152 0.7500

Entry 14:
# PBE-GGA CdRh2S, relaxed
# VASP energy ... -5.13 eV/atom
data_CdRh2S
_space_group_name_H-M_alt 'C 1 m 1'
_space_group_IT_number 8
_cell_length_a 14.9179
_cell_length_b 3.2062
_cell_length_c 5.6791
_cell_angle_alpha 90.00
_cell_angle_beta 99.22
_cell_angle_gamma 90.00
loop_
_space_group_symop_operation_xyz
'x,y,z'
'x,-y,z'
'x+1/2,y+1/2,z'
'x+1/2,-y+1/2,z'
loop_
_atom_site_label
_atom_site_fract_x
_atom_site_fract_y
_atom_site_fract_z
Cd1 0.0000 0.0000 0.0000
Cd2 0.1331 0.5000 0.3326
Rh1 0.0084 0.0000 0.5128
Rh2 0.1389 0.5000 0.8257
Rh3 0.3713 0.0000 0.2055
Rh4 0.3706 0.0000 0.6923
S1 0.2459 0.0000 0.8971
S2 0.3126 0.5000 0.4221

Entry 15:
# PBE-GGA CdRh2S, relaxed
# VASP energy ... -5.17 eV/atom
data_CdRh2S
_space_group_name_H-M_alt 'R 3 m'
_space_group_IT_number 160
_space_group_name_Hall 'R 3 -2"'
_cell_length_a 3.2236
_cell_length_b 3.2236
_cell_length_c 21.8018
_cell_angle_alpha 90.00
_cell_angle_beta 90.00
_cell_angle_gamma 120.00
loop_
_atom_site_label
_atom_site_fract_x
_atom_site_fract_y
_atom_site_fract_z
Cd1 0.0000 0.0000 0.0000
Rh1 0.0000 0.0000 0.4363
Rh2 0.0000 0.0000 0.5643
S1 0.0000 0.0000 0.1673

Entry 16:
# PBE-GGA CdRh2S, relaxed
# VASP energy ... -5.12 eV/atom
data_CdRh2S
_space_group_name_H-M_alt 'C 1 m 1'
_space_group_IT_number 8
_cell_length_a 10.7541
_cell_length_b 3.1402
_cell_length_c 8.2213
_cell_angle_alpha 90.00
_cell_angle_beta 103.09
_cell_angle_gamma 90.00
loop_
_space_group_symop_operation_xyz
'x,y,z'
'x,-y,z'
'x+1/2,y+1/2,z'
'x+1/2,-y+1/2,z'
loop_
_atom_site_label
_atom_site_fract_x
_atom_site_fract_y
_atom_site_fract_z
Cd1 0.0000 0.0000 0.0000
Cd2 0.1812 0.5000 0.2968
Rh1 0.1147 0.5000 0.7796
Rh2 0.2838 0.0000 0.0618
Rh3 0.3744 0.5000 0.6312
Rh4 0.4468 0.5000 0.3130
S1 0.2675 0.0000 0.7876
S2 0.4898 0.0000 0.5182

Entry 17:
# PBE-GGA CdRh2S, relaxed
# VASP energy ... -5.11 eV/atom
data_CdRh2S
_space_group_name_H-M_alt 'C 1 m 1'
_space_group_IT_number 8
_cell_length_a 11.6695
_cell_length_b 3.1897
_cell_length_c 7.4515
_cell_angle_alpha 90.00
_cell_angle_beta 107.25
_cell_angle_gamma 90.00
loop_
_space_group_symop_operation_xyz
'x,y,z'
'x,-y,z'
'x+1/2,y+1/2,z'
'x+1/2,-y+1/2,z'
loop_
_atom_site_label
_atom_site_fract_x
_atom_site_fract_y
_atom_site_fract_z
Cd1 0.0000 0.0000 0.0000
Cd2 0.2407 0.5000 0.1135
Rh1 0.0576 0.5000 0.7090
Rh2 0.0798 0.5000 0.3391
Rh3 0.2951 0.0000 0.8401
Rh4 0.3076 0.0000 0.4593
S1 0.2324 0.5000 0.6173
S2 0.4733 0.5000 0.4702

Entry 18:
# PBE-GGA CdRh2S, relaxed
# VASP energy ... -5.18 eV/atom
data_CdRh2S
_space_group_name_H-M_alt 'I m a 2'
_space_group_IT_number 46
_cell_length_a 5.7882
_cell_length_b 7.9724
_cell_length_c 5.8946
_cell_angle_alpha 90.00
_cell_angle_beta 90.00
_cell_angle_gamma 90.00
loop_
_space_group_symop_operation_xyz
'x,y,z'
'-x,-y,z'
'-x+1/2,y,z'
'x+1/2,-y,z'
'x+1/2,y+1/2,z+1/2'
'-x+1/2,-y+1/2,z+1/2'
'-x,y+1/2,z+1/2'
'x,-y+1/2,z+1/2'
loop_
_atom_site_label
_atom_site_fract_x
_atom_site_fract_y
_atom_site_fract_z
Cd1 0.2500 0.1816 0.0000
Rh1 0.0000 0.0000 0.6544
Rh2 0.2500 0.6750 0.5272
S1 0.2500 0.5726 0.8774

Entry 19:
# PBE-GGA CdRh2S, relaxed
# VASP energy ... -5.04 eV/atom
data_CdRh2S
_space_group_name_H-M_alt 'R 3 m'
_space_group_IT_number 160
_space_group_name_Hall 'R 3 -2"'
_cell_length_a 3.0670
_cell_length_b 3.0670
_cell_length_c 23.3386
_cell_angle_alpha 90.00
_cell_angle_beta 90.00
_cell_angle_gamma 120.00
loop_
_atom_site_label
_atom_site_fract_x
_atom_site_fract_y
_atom_site_fract_z
Cd1 0.0000 0.0000 0.0000
Rh1 0.0000 0.0000 0.5687
Rh2 0.0000 0.0000 0.7649
S1 0.0000 0.0000 0.1670

Entry 20:
# PBE-GGA CdRh2S, relaxed
# VASP energy ... -5.12 eV/atom
data_CdRh2S
_space_group_name_H-M_alt 'P 1 m 1'
_space_group_IT_number 6
_cell_length_a 4.6229
_cell_length_b 3.0920
_cell_length_c 9.0645
_cell_angle_alpha 90.00
_cell_angle_beta 91.64
_cell_angle_gamma 90.00
loop_
_space_group_symop_operation_xyz
'x,y,z'
'x,-y,z'
loop_
_atom_site_label
_atom_site_fract_x
_atom_site_fract_y
_atom_site_fract_z
Cd1 0.0000 0.0000 0.0000
Cd2 0.4842 0.0000 0.8128
Rh1 0.3334 0.0000 0.4827
Rh2 0.5107 0.5000 0.0868
Rh3 0.8576 0.0000 0.2977
Rh4 0.9927 0.5000 0.7146
S1 0.2457 0.5000 0.2915
S2 0.8232 0.0000 0.5527

Entry 21:
# PBE-GGA CdRh2S, relaxed
# VASP energy ... -5.14 eV/atom
data_CdRh2S
_space_group_name_H-M_alt 'C 1 m 1'
_space_group_IT_number 8
_cell_length_a 12.4164
_cell_length_b 3.0488
_cell_length_c 9.1378
_cell_angle_alpha 90.00
_cell_angle_beta 127.27
_cell_angle_gamma 90.00
loop_
_space_group_symop_operation_xyz
'x,y,z'
'x,-y,z'
'x+1/2,y+1/2,z'
'x+1/2,-y+1/2,z'
loop_
_atom_site_label
_atom_site_fract_x
_atom_site_fract_y
_atom_site_fract_z
Cd1 0.0000 0.0000 0.0000
Cd2 0.1813 0.5000 0.8376
Rh1 0.0686 0.0000 0.4954
Rh2 0.1722 0.5000 0.3299
Rh3 0.3921 0.0000 0.1574
Rh4 0.4394 0.5000 0.6613
S1 0.2807 0.0000 0.5836
S2 0.3376 0.5000 0.2855

Entry 22:
# PBE-GGA Cd2Rh3S2, relaxed
# VASP energy ... -4.89 eV/atom
data_Cd2Rh3S2
_space_group_name_H-M_alt 'I 21 3'
_space_group_IT_number 199
_space_group_name_Hall 'I 2b 2c 3'
_cell_length_a 7.9959
_cell_length_b 7.9959
_cell_length_c 7.9959
_cell_angle_alpha 90.00
_cell_angle_beta 90.00
_cell_angle_gamma 90.00
loop_
_atom_site_label
_atom_site_fract_x
_atom_site_fract_y
_atom_site_fract_z
Cd1 0.0091 0.4909 0.5091
Rh1 0.0000 0.2500 0.2461
S1 0.2182 0.2818 0.7182